# NiGeMoO6, relaxed, DFT PBE with a Hubbard U
# Total magnetic moment, μB/cell: 4.1
# VASP energy, eV/cell: -112.9
data_NiGeMoO6
_cell_length_a 5.0299
_cell_length_b 5.0299
_cell_length_c 8.9730
_cell_angle_alpha 90.00
_cell_angle_beta 90.00
_cell_angle_gamma 120.00
_symmetry_space_group_name_H-M 'P -3 1 c'
_symmetry_Int_Tables_number 163
_symmetry_space_group_name_Hall '-P 3 2c'
loop_
_atom_site_label
_atom_site_type_symbol
_atom_site_fract_x
_atom_site_fract_y
_atom_site_fract_z
Ni1 Ni 0.0000 0.0000 0.0000
Ge1 Ge 0.3333 0.6667 0.2500
Mo1 Mo 0.3333 0.6667 0.7500
O1 O 0.0049 0.3568 0.1336